# 1
# KGa2IrO8

A geometry-optimized KGa2IrO8 structure (GGA-PBE, Alexandria via LeMat-Bulk).

Values from the calculation:
Space-group type: P-1
M_tot (μB/f.u.): 1.727

Unit cell a=4.6027 b=4.6710 c=7.4887 alpha=93.02 beta=92.20 gamma=90.14
Last column: nearest neighbours and their distance in Å.
Sites, in units of the cell vectors:
K (0.0000, 0.0000, 0.0000)  6 O 2.68-2.75
Ga (0.4988, 0.5008, 0.6903)  5 O 1.91-2.02
Ga (0.5012, 0.4992, 0.3097)  5 O 1.91-2.02
Ir (0.0000, 0.0000, 0.5000)  6 O 1.88-1.96
O (0.2049, 0.1831, 0.3254)  1 Ir 1.88, 1 Ga 2.02
O (0.2130, 0.2029, 0.6951)  1 Ga 1.92, 1 Ir 1.93
O (0.2893, 0.6939, 0.5003)  2 Ga 1.95, 1 Ir 1.96
O (0.4249, 0.4119, 0.0609)  1 O 1.45
O (0.5751, 0.5881, 0.9391)  1 O 1.45
O (0.7107, 0.3061, 0.4997)  2 Ga 1.95, 1 Ir 1.96
O (0.7870, 0.7971, 0.3049)  1 Ga 1.92, 1 Ir 1.93
O (0.7951, 0.8169, 0.6746)  1 Ir 1.88, 1 Ga 2.02

# 2
# Rb2LaAl

A geometry-optimized Rb2LaAl structure (GGA-PBE, Alexandria via LeMat-Bulk).

Values from the calculation:
Calculated formation energy (eV per atom): 0.5766
Space-group type: I-42d
M_tot (μB/f.u.): 0.000

Unit cell a=9.4773 b=9.4773 c=9.4773 alpha=95.80 beta=95.80 gamma=142.91
Last column: nearest neighbours and their distance in Å.
Sites, in units of the cell vectors:
Rb (0.0042, 0.6250, 0.8792)  2 Al 3.65
Rb (0.3750, 0.2542, 0.3792)  2 Al 3.65
Rb (0.7458, 0.1250, 0.1208)  2 Al 3.65
Rb (0.8750, 0.9958, 0.6208)  2 Al 3.65
La (0.2500, 0.7500, 0.5000)  2 Al 3.01
La (0.5000, 0.5000, 0.0000)  2 Al 3.01
Al (0.0000, 0.0000, 0.0000)  2 La 3.01
Al (0.7500, 0.2500, 0.5000)  2 La 3.01

# 3
# Tb2Cu3Ni2

A geometry-optimized Tb2Cu3Ni2 structure (GGA-PBE, Alexandria via LeMat-Bulk).

Values from the calculation:
Calculated formation energy (eV per atom): -0.2839
Energy above the lowest structure with this stoichiometry (meV per atom): 0
Space-group type: C2/m
M_tot (μB/f.u.): 0.000

Unit cell a=5.0834 b=5.0834 c=6.3087 alpha=100.56 beta=100.56 gamma=46.33
Last column: nearest neighbours and their distance in Å.
Sites, in units of the cell vectors:
Tb (0.1174, 0.1174, 0.3256)  5 Ni 2.72-2.97, 4 Cu 2.92-3.03
Tb (0.8826, 0.8826, 0.6744)  5 Ni 2.72-2.97, 4 Cu 2.92-3.03
Cu (0.2024, 0.2024, 0.8867)  3 Cu 2.52-2.73, 2 Ni 2.55
Cu (0.5000, 0.5000, 0.0000)  2 Ni 2.43
Cu (0.7976, 0.7976, 0.1133)  3 Cu 2.52-2.73, 2 Ni 2.55
Ni (0.4094, 0.4094, 0.3359)  1 Ni 2.40, 3 Cu 2.43-2.55
Ni (0.5906, 0.5906, 0.6641)  1 Ni 2.40, 3 Cu 2.43-2.55

# 4
# Sb2MoW

A geometry-optimized Sb2MoW structure (GGA-PBE, Alexandria via LeMat-Bulk).

Values from the calculation:
Energy above the lowest structure with this stoichiometry (meV per atom): 0
Space-group type: P4mm
M_tot (μB/f.u.): 0.000

Unit cell a=3.2467 b=3.2467 c=8.1354 alpha=90.00 beta=90.00 gamma=90.00
Last column: nearest neighbours and their distance in Å.
Sites, in units of the cell vectors:
Sb (0.0000, 0.0000, 0.0000)  4 Mo 2.93, 1 W 3.22, 4 Sb 3.25
Sb (0.5000, 0.5000, 0.3792)  4 W 2.94, 1 Mo 3.23, 4 Sb 3.25
Mo (0.5000, 0.5000, 0.7764)  4 W 2.69, 4 Sb 2.93
W (0.0000, 0.0000, 0.6047)  4 Mo 2.69, 4 Sb 2.94

| no. | raw total energy (eV per cell) |
| --- | --- |
| 1 | -68.05 |
| 2 | -16.60 |
| 3 | -35.10 |
| 4 | -31.35 |